Record 1
Density functional theory data (PBE) for crystalline FeReN2Cl at its relaxed geometry.

Unit cell a=3.795 b=3.795 c=5.555 alpha=90.00 beta=90.00 gamma=90.00
Fractional positions:
Fe 0.000 0.000 0.000
Re 0.000 0.000 0.500
N 0.000 0.500 0.500
N 0.500 0.000 0.500
Cl 0.500 0.500 0.000

Results
Space group: No. 123
Total moment, μB/atom: 0.754
Density, g cm⁻³: 6.3
Formation energy (no corrections), eV per atom: 0.578



Record 2
Density functional theory data (PBE) for crystalline FeRuN2Cl at its relaxed geometry.

Unit cell a=3.771 b=3.771 c=5.341 alpha=90.00 beta=90.00 gamma=90.00
Fractional positions:
Fe 0.000 0.000 0.000
Ru 0.500 0.500 0.500
N 0.000 0.500 0.500
N 0.500 0.000 0.500
Cl 0.500 0.500 0.000

Results
Space group: No. 123
Total moment, μB/atom: 0.699
Density, g cm⁻³: 4.8
Formation energy (no corrections), eV per atom: 1.048



Record 3
Density functional theory data (PBE) for crystalline FeSN2Cl at its relaxed geometry.

Unit cell a=3.552 b=3.552 c=5.253 alpha=90.00 beta=90.00 gamma=90.00
Fractional positions:
Fe 0.000 0.000 0.000
S 0.000 0.000 0.500
N 0.000 0.500 0.000
N 0.500 0.000 0.000
Cl 0.500 0.500 0.500

Results
Space group: No. 123
Total moment, μB/atom: 0.000
Density, g cm⁻³: 3.8
Formation energy (no corrections), eV per atom: 0.952
Excess energy over the best structure of this formula in the dataset, meV/atom: 0



Record 4
Density functional theory data (PBE) for crystalline FeS4N4Cl5 at its relaxed geometry.

Unit cell a=7.393 b=9.537 c=10.593 alpha=78.76 beta=84.91 gamma=79.60
Fractional positions:
Fe 0.059 0.315 0.275
Fe 0.941 0.685 0.725
S 0.077 0.896 0.192
S 0.341 0.706 0.038
S 0.372 0.831 0.379
S 0.475 0.544 0.297
S 0.525 0.456 0.703
S 0.628 0.169 0.621
S 0.659 0.294 0.962
S 0.923 0.104 0.808
N 0.174 0.884 0.322
N 0.183 0.826 0.080
N 0.433 0.660 0.389
N 0.443 0.593 0.151
N 0.557 0.407 0.849
N 0.567 0.340 0.611
N 0.817 0.174 0.920
N 0.826 0.116 0.678
Cl 0.013 0.453 0.709
Cl 0.193 0.287 0.085
Cl 0.198 0.778 0.705
Cl 0.250 0.203 0.425
Cl 0.444 0.083 0.779
Cl 0.556 0.917 0.221
Cl 0.750 0.797 0.575
Cl 0.802 0.222 0.295
Cl 0.807 0.713 0.915
Cl 0.987 0.547 0.291

Results
Space group: No. 2
Total moment, μB/atom: 0.357
Density, g cm⁻³: 1.9
Formation energy (no corrections), eV per atom: 0.012



Record 5
Density functional theory data (PBE) for crystalline FeSN2Cl at its relaxed geometry.

Unit cell a=3.501 b=3.501 c=7.038 alpha=90.00 beta=90.00 gamma=90.00
Fractional positions:
Fe 0.000 0.000 0.000
S 0.500 0.500 0.000
N 0.000 0.500 0.500
N 0.500 0.000 0.500
Cl 0.500 0.500 0.500

Results
Space group: No. 123
Total moment, μB/atom: 0.792
Density, g cm⁻³: 2.9
Formation energy (no corrections), eV per atom: 2.130
Excess energy over the best structure of this formula in the dataset, meV/atom: 1178



Record 6
Density functional theory data (PBE) for crystalline FeSeN2Cl at its relaxed geometry.

Unit cell a=3.607 b=3.607 c=5.388 alpha=90.00 beta=90.00 gamma=90.00
Fractional positions:
Fe 0.000 0.000 0.000
Se 0.000 0.000 0.500
N 0.000 0.500 0.000
N 0.500 0.000 0.000
Cl 0.500 0.500 0.500

Results
Space group: No. 123
Total moment, μB/atom: 0.000
Density, g cm⁻³: 4.7
Formation energy (no corrections), eV per atom: 0.872
Excess energy over the best structure of this formula in the dataset, meV/atom: 0



Record 7
Density functional theory data (PBE) for crystalline FeSeN2Cl at its relaxed geometry.

Unit cell a=3.577 b=3.577 c=7.275 alpha=90.00 beta=90.00 gamma=90.00
Fractional positions:
Fe 0.000 0.000 0.000
Se 0.500 0.500 0.000
N 0.000 0.500 0.500
N 0.500 0.000 0.500
Cl 0.500 0.500 0.500

Results
Space group: No. 123
Total moment, μB/atom: 0.722
Density, g cm⁻³: 3.5
Formation energy (no corrections), eV per atom: 2.141
Excess energy over the best structure of this formula in the dataset, meV/atom: 1269



Record 8
Density functional theory data (PBE) for crystalline FeSiN2Cl at its relaxed geometry.

Unit cell a=3.908 b=3.908 c=4.114 alpha=90.00 beta=90.00 gamma=90.00
Fractional positions:
Fe 0.000 0.000 0.000
Si 0.500 0.500 0.000
N 0.000 0.500 0.500
N 0.500 0.000 0.500
Cl 0.000 0.000 0.500

Results
Space group: No. 123
Total moment, μB/atom: 0.000
Density, g cm⁻³: 3.9
Formation energy (no corrections), eV per atom: 2.377



Record 9
Density functional theory data (PBE) for crystalline SrFe2NCl at its relaxed geometry.

Unit cell a=4.091 b=4.091 c=6.118 alpha=90.00 beta=90.00 gamma=90.00
Fractional positions:
Sr 0.000 0.000 0.000
Fe 0.000 0.500 0.500
Fe 0.500 0.000 0.500
N 0.500 0.500 0.000
Cl 0.000 0.000 0.500

Results
Space group: No. 123
Total moment, μB/atom: 1.200
Density, g cm⁻³: 4.0
Formation energy (no corrections), eV per atom: 0.856



Record 10
Density functional theory data (PBE) for crystalline FeTe2NCl at its relaxed geometry.

Unit cell a=5.404 b=5.404 c=3.384 alpha=90.00 beta=90.00 gamma=90.00
Fractional positions:
Fe 0.000 0.000 0.000
Te 0.000 0.500 0.000
Te 0.500 0.000 0.000
N 0.000 0.000 0.500
Cl 0.500 0.500 0.500

Results
Space group: No. 123
Total moment, μB/atom: 0.000
Density, g cm⁻³: 6.1
Formation energy (no corrections), eV per atom: 0.266
Excess energy over the best structure of this formula in the dataset, meV/atom: 0



Record 11
Density functional theory data (PBE) for crystalline FeTe2NCl at its relaxed geometry.

Unit cell a=5.414 b=5.414 c=3.373 alpha=90.00 beta=90.00 gamma=90.00
Fractional positions:
Fe 0.000 0.000 0.000
Te 0.000 0.500 0.500
Te 0.500 0.000 0.500
N 0.500 0.500 0.000
Cl 0.500 0.500 0.500

Results
Space group: No. 123
Total moment, μB/atom: 0.008
Density, g cm⁻³: 6.1
Formation energy (no corrections), eV per atom: 1.839
Excess energy over the best structure of this formula in the dataset, meV/atom: 1572



Record 12
Density functional theory data (PBE) for crystalline YFeN2Cl at its relaxed geometry.

Unit cell a=3.865 b=3.865 c=4.471 alpha=90.00 beta=90.00 gamma=90.00
Fractional positions:
Y 0.000 0.000 0.000
Fe 0.500 0.500 0.500
N 0.000 0.500 0.500
N 0.500 0.000 0.500
Cl 0.500 0.500 0.000

Results
Space group: No. 123
Total moment, μB/atom: 0.579
Density, g cm⁻³: 5.2
Formation energy (no corrections), eV per atom: -0.104



Record 13
Density functional theory data (PBE) for crystalline Zn2FeNCl at its relaxed geometry.

Unit cell a=4.653 b=4.653 c=3.975 alpha=90.00 beta=90.00 gamma=90.00
Fractional positions:
Zn 0.000 0.500 0.000
Zn 0.500 0.000 0.000
Fe 0.000 0.000 0.500
N 0.500 0.500 0.500
Cl 0.000 0.000 0.000

Results
Space group: No. 123
Total moment, μB/atom: 0.001
Density, g cm⁻³: 4.6
Formation energy (no corrections), eV per atom: 1.833



Record 14
Density functional theory data (PBE) for crystalline Na6Fe3Cl14 at its relaxed geometry.

Unit cell a=10.112 b=10.112 c=6.339 alpha=90.00 beta=90.00 gamma=120.00
Fractional positions:
Na 0.020 0.544 0.000
Na 0.290 0.104 0.507
Na 0.456 0.476 0.000
Na 0.524 0.980 0.000
Na 0.814 0.710 0.507
Na 0.896 0.186 0.507
Fe 0.000 0.000 0.929
Fe 0.333 0.667 0.413
Fe 0.667 0.333 0.350
Cl 0.000 0.000 0.285
Cl 0.087 0.854 0.784
Cl 0.146 0.233 0.784
Cl 0.201 0.433 0.271
Cl 0.231 0.799 0.271
Cl 0.333 0.667 0.768
Cl 0.453 0.210 0.137
Cl 0.541 0.424 0.555
Cl 0.567 0.769 0.271
Cl 0.576 0.117 0.555
Cl 0.757 0.547 0.137
Cl 0.767 0.913 0.784
Cl 0.790 0.243 0.137
Cl 0.883 0.459 0.555

Results
Space group: No. 143
Total moment, μB/atom: 0.350
Density, g cm⁻³: 2.4
Formation energy (no corrections), eV per atom: -1.261



Record 15
Density functional theory data (PBE) for crystalline NaFeCl2 at its relaxed geometry.

Unit cell a=7.912 b=7.912 c=7.912 alpha=28.39 beta=28.39 gamma=28.39
Fractional positions:
Na 0.000 0.000 0.000
Fe 0.500 0.500 0.500
Cl 0.403 0.403 0.403
Cl 0.597 0.597 0.597

Results
Space group: No. 166
Total moment, μB/atom: 0.750
Density, g cm⁻³: 2.5
Formation energy (no corrections), eV per atom: -0.711
Excess energy over the best structure of this formula in the dataset, meV/atom: 11



Record 16
Density functional theory data (PBE) for crystalline NaFeCl2 at its relaxed geometry.

Unit cell a=7.343 b=7.343 c=7.343 alpha=134.59 beta=134.59 gamma=66.17
Fractional positions:
Na 0.000 0.000 0.000
Na 0.750 0.250 0.500
Fe 0.250 0.750 0.500
Fe 0.500 0.500 0.000
Cl 0.179 0.625 0.054
Cl 0.375 0.429 0.554
Cl 0.571 0.125 0.946
Cl 0.875 0.821 0.446

Results
Space group: No. 122
Total moment, μB/atom: 0.757
Density, g cm⁻³: 2.5
Formation energy (no corrections), eV per atom: -0.722
Excess energy over the best structure of this formula in the dataset, meV/atom: 0



Record 17
Density functional theory data (PBE) for crystalline NaFe2Cl at its relaxed geometry.

Unit cell a=4.576 b=4.576 c=4.576 alpha=60.00 beta=60.00 gamma=60.00
Fractional positions:
Na 0.000 0.000 0.000
Fe 0.250 0.250 0.250
Fe 0.750 0.750 0.750
Cl 0.500 0.500 0.500

Results
Space group: No. 225
Total moment, μB/atom: 1.427
Density, g cm⁻³: 4.2
Formation energy (no corrections), eV per atom: 1.001
Excess energy over the best structure of this formula in the dataset, meV/atom: 382



Record 18
Density functional theory data (PBE) for crystalline NaFe3Cl at its relaxed geometry.

Unit cell a=4.239 b=4.239 c=4.239 alpha=90.00 beta=90.00 gamma=90.00
Fractional positions:
Na 0.000 0.000 0.000
Fe 0.000 0.500 0.500
Fe 0.500 0.000 0.500
Fe 0.500 0.500 0.000
Cl 0.500 0.500 0.500

Results
Space group: No. 221
Total moment, μB/atom: 1.209
Density, g cm⁻³: 4.9
Formation energy (no corrections), eV per atom: 0.789
Excess energy over the best structure of this formula in the dataset, meV/atom: 0



Record 19
Density functional theory data (PBE) for crystalline Na3Fe5Cl12 at its relaxed geometry.

Unit cell a=13.141 b=13.141 c=13.141 alpha=109.47 beta=109.47 gamma=109.47
Fractional positions:
Na 0.125 0.250 0.375
Na 0.125 0.375 0.750
Na 0.250 0.375 0.125
Na 0.250 0.875 0.625
Na 0.375 0.125 0.250
Na 0.375 0.750 0.125
Na 0.625 0.250 0.875
Na 0.625 0.875 0.750
Na 0.750 0.125 0.375
Na 0.750 0.625 0.875
Na 0.875 0.625 0.250
Na 0.875 0.750 0.625
Fe 0.000 0.000 0.000
Fe 0.000 0.000 0.500
Fe 0.000 0.500 0.000
Fe 0.000 0.500 0.500
Fe 0.125 0.750 0.875
Fe 0.125 0.875 0.250
Fe 0.250 0.125 0.875
Fe 0.250 0.625 0.375
Fe 0.375 0.250 0.625
Fe 0.375 0.625 0.750
Fe 0.500 0.000 0.000
Fe 0.500 0.000 0.500
Fe 0.500 0.500 0.000
Fe 0.500 0.500 0.500
Fe 0.625 0.375 0.250
Fe 0.625 0.750 0.375
Fe 0.750 0.375 0.625
Fe 0.750 0.875 0.125
Fe 0.875 0.125 0.750
Fe 0.875 0.250 0.125
Cl 0.020 0.195 0.113
Cl 0.020 0.325 0.907
Cl 0.082 0.695 0.675
Cl 0.082 0.887 0.407
Cl 0.093 0.613 0.418
Cl 0.093 0.980 0.675
Cl 0.113 0.020 0.195
Cl 0.113 0.593 0.918
Cl 0.175 0.195 0.582
Cl 0.175 0.480 0.593
Cl 0.195 0.113 0.020
Cl 0.195 0.582 0.175
Cl 0.305 0.325 0.918
Cl 0.305 0.480 0.387
Cl 0.325 0.907 0.020
Cl 0.325 0.918 0.305
Cl 0.387 0.305 0.480
Cl 0.387 0.582 0.907
Cl 0.407 0.082 0.887
Cl 0.407 0.825 0.520
Cl 0.418 0.093 0.613
Cl 0.418 0.825 0.805
Cl 0.480 0.387 0.305
Cl 0.480 0.593 0.175
Cl 0.520 0.407 0.825
Cl 0.520 0.613 0.695
Cl 0.582 0.175 0.195
Cl 0.582 0.907 0.387
Cl 0.593 0.175 0.480
Cl 0.593 0.918 0.113
Cl 0.613 0.418 0.093
Cl 0.613 0.695 0.520
Cl 0.675 0.082 0.695
Cl 0.675 0.093 0.980
Cl 0.695 0.520 0.613
Cl 0.695 0.675 0.082
Cl 0.805 0.418 0.825
Cl 0.805 0.887 0.980
Cl 0.825 0.520 0.407
Cl 0.825 0.805 0.418
Cl 0.887 0.407 0.082
Cl 0.887 0.980 0.805
Cl 0.907 0.020 0.325
Cl 0.907 0.387 0.582
Cl 0.918 0.113 0.593
Cl 0.918 0.305 0.325
Cl 0.980 0.675 0.093
Cl 0.980 0.805 0.887

Results
Space group: No. 230
Total moment, μB/atom: 0.552
Density, g cm⁻³: 2.9
Formation energy (no corrections), eV per atom: -0.849



Record 20
Density functional theory data (PBE) for crystalline Na2Fe2Cl7 at its relaxed geometry.

Unit cell a=6.422 b=13.925 c=7.238 alpha=90.00 beta=97.65 gamma=90.00
Fractional positions:
Na 0.100 0.152 0.412
Na 0.100 0.348 0.912
Na 0.900 0.652 0.088
Na 0.900 0.848 0.588
Fe 0.355 0.616 0.666
Fe 0.355 0.884 0.166
Fe 0.645 0.116 0.834
Fe 0.645 0.384 0.334
Cl 0.101 0.683 0.463
Cl 0.101 0.817 0.963
Cl 0.213 0.544 0.897
Cl 0.213 0.956 0.397
Cl 0.385 0.215 0.726
Cl 0.385 0.285 0.226
Cl 0.500 0.000 0.000
Cl 0.500 0.500 0.500
Cl 0.615 0.715 0.774
Cl 0.615 0.785 0.274
Cl 0.787 0.044 0.603
Cl 0.787 0.456 0.103
Cl 0.899 0.183 0.037
Cl 0.899 0.317 0.537

Results
Space group: No. 14
Total moment, μB/atom: 0.818
Density, g cm⁻³: 2.1
Formation energy (no corrections), eV per atom: -1.133